1.
## PmMg2GaRh2 (PBE)

Data for a relaxed PmMg2GaRh2 crystal.

a = 5.103 Å, b = 5.103 Å, c = 6.272 Å
α = 114.00°, β = 114.00°, γ = 90.00°
Positions (direct):
Mg (0.250, 0.750, 0.500)
Mg (0.750, 0.250, 0.500)
Pm (0.500, 0.500, 0.000)
Ga (0.000, 0.000, 0.000)
Rh (0.231, 0.231, 0.461)
Rh (0.769, 0.769, 0.539)

Properties
N(E_F) = 6.00 states/eV/cell
Magnetization = 0.0 μB/cell
VASP energy = -4.539 eV per atom
E_form = -0.260 eV/atom

=====

2.
## Li5InAu (PBE)

Data for a relaxed Li5InAu crystal.

a = 5.563 Å, b = 5.563 Å, c = 9.788 Å
α = 78.50°, β = 78.50°, γ = 59.31°
Positions (direct):
Li (0.422, 0.281, 0.541)
Li (0.662, 0.863, 0.173)
Li (0.863, 0.662, 0.673)
Li (0.281, 0.422, 0.041)
Li (0.719, 0.578, 0.959)
Li (0.338, 0.137, 0.827)
Li (0.806, 0.194, 0.750)
Li (0.137, 0.338, 0.327)
Li (0.578, 0.719, 0.459)
Li (0.194, 0.806, 0.250)
Au (0.000, 0.000, 0.000)
Au (0.000, 0.000, 0.500)
In (0.696, 0.304, 0.250)
In (0.304, 0.696, 0.750)

Properties
N(E_F) = 4.90 states/eV/cell
Excess energy over the best structure of this formula in the dataset = 0.000 eV per atom
Magnetization = 0.0 μB/cell
VASP energy = -2.484 eV per atom
E_form = -0.257 eV/atom

=====

3.
## LiMn2CoN (PBE)

Data for a relaxed LiMn2CoN crystal.

a = 3.815 Å, b = 3.815 Å, c = 3.735 Å
α = 90.00°, β = 90.00°, γ = 90.00°
Last column: magnetic moment on the atom in μB.
Positions (direct):
N (0.000, 0.000, 0.000)  -0.12
Mn (0.500, 0.000, 0.000)  2.29
Mn (0.000, 0.500, 0.000)  2.29
Co (0.000, 0.000, 0.500)  0.62
Li (0.500, 0.500, 0.500)  -0.06

Properties
ΔE_f (raw) = -0.085 eV per atom
N(E_F) = 4.92 states/eV/cell
Magnetization = 5.0 μB/cell
VASP energy = -7.222 eV per atom

=====

4.
## TmZrU2As4 (PBE)

Data for a relaxed TmZrU2As4 crystal.

a = 3.991 Å, b = 6.975 Å, c = 6.973 Å
α = 109.06°, β = 90.00°, γ = 90.00°
Last column: magnetic moment on the atom in μB.
Positions (direct):
U (0.000, 0.500, 0.500)  2.12
U (0.500, 0.000, 0.500)  -2.14
As (0.000, 0.752, 0.244)  0.01
As (0.500, 0.243, 0.241)  -0.02
As (0.500, 0.757, 0.759)  -0.02
As (0.000, 0.248, 0.756)  0.01
Tm (0.500, 0.500, 0.000)  0.00
Zr (0.000, 0.000, 0.000)  -0.03

Properties
N(E_F) = 14.09 states/eV/cell
Magnetization = 0.1 μB/cell
VASP energy = -7.787 eV per atom
E_form = -1.013 eV/atom

=====

5.
## ZnHCl2 (PBE)

Data for a relaxed ZnHCl2 crystal.

a = 6.612 Å, b = 6.612 Å, c = 6.585 Å
α = 59.86°, β = 59.86°, γ = 90.00°
Last column: magnetic moment on the atom in μB.
Positions (direct):
Cl (0.043, 0.625, 0.250)  0.03
Cl (0.707, 0.125, 0.250)  0.02
Cl (0.875, 0.957, 0.750)  0.02
Cl (0.375, 0.293, 0.750)  0.02
Zn (0.000, 0.000, 0.000)  0.00
Zn (0.750, 0.250, 0.500)  0.00
H (0.250, 0.750, 0.500)  0.38
H (0.500, 0.500, 0.000)  0.38

Properties
N(E_F) = 0.00 states/eV/cell
Excess energy over the best structure of this formula in the dataset = 0.006 eV per atom
Magnetization = 2.0 μB/cell
VASP energy = -2.355 eV per atom

=====

6.
## La2Ga4Pd3Au (PBE)

Data for a relaxed La2Ga4Pd3Au crystal.

a = 4.384 Å, b = 4.384 Å, c = 10.551 Å
α = 90.00°, β = 90.00°, γ = 90.00°
Positions (direct):
Ga (0.500, 0.000, 0.634)
Ga (0.000, 0.500, 0.366)
Ga (0.000, 0.000, 0.000)
Ga (0.500, 0.500, 0.000)
La (0.000, 0.500, 0.758)
La (0.500, 0.000, 0.242)
Au (0.500, 0.500, 0.500)
Pd (0.000, 0.000, 0.500)
Pd (0.000, 0.500, 0.129)
Pd (0.500, 0.000, 0.871)

Properties
N(E_F) = 8.60 states/eV/cell
Magnetization = 0.0 μB/cell
VASP energy = -4.872 eV per atom
E_form = -0.790 eV/atom

=====

7.
## Ba2SiIr2 (PBE)

Data for a relaxed Ba2SiIr2 crystal.

a = 6.487 Å, b = 6.487 Å, c = 5.550 Å
α = 90.00°, β = 90.00°, γ = 90.00°
Positions (direct):
Si (0.000, 0.000, 0.000)
Si (0.500, 0.500, 0.000)
Ir (0.639, 0.139, 0.000)
Ir (0.861, 0.639, 0.000)
Ir (0.139, 0.361, 0.000)
Ir (0.361, 0.861, 0.000)
Ba (0.682, 0.818, 0.500)
Ba (0.318, 0.182, 0.500)
Ba (0.182, 0.682, 0.500)
Ba (0.818, 0.318, 0.500)

Properties
ΔE_f (raw) = -0.086 eV per atom
N(E_F) = 7.78 states/eV/cell
Magnetization = 0.0 μB/cell
VASP energy = -5.484 eV per atom

=====

8.
## Pd5Se (PBE)

Data for a relaxed Pd5Se crystal.

a = 4.412 Å, b = 5.149 Å, c = 5.490 Å
α = 119.24°, β = 90.00°, γ = 115.37°
Positions (direct):
Pd (0.053, 0.106, 0.596)
Pd (0.002, 0.004, 0.062)
Pd (0.337, 0.674, 0.183)
Pd (0.695, 0.389, 0.385)
Pd (0.386, 0.771, 0.713)
Se (0.694, 0.389, 0.894)

Properties
ΔE_f (raw) = -0.091 eV per atom
N(E_F) = 5.05 states/eV/cell
Magnetization = 0.0 μB/cell
VASP energy = -4.999 eV per atom

=====

no.,volume (A^3/atom)
1,22.3
2,18.1
3,10.9
4,22.9
5,25.3
6,20.3
7,23.4
8,15.8